A geometry-optimized Tb4Pr2Dy2Y structure. Source: Alexandria, functional PBE.

```
data_Tb4Pr2Dy2Y
_chemical_formula_sum 'Tb8 Pr4 Dy4 Y2'
_symmetry_space_group_name_H-M 'C 1 2/m 1'
_symmetry_Int_Tables_number 12
_cell_length_a 18.8061
_cell_length_b 3.6271
_cell_length_c 9.6324
_cell_angle_alpha 90.00
_cell_angle_beta 115.71
_cell_angle_gamma 90.00
loop_
_symmetry_equiv_pos_as_xyz
'x,y,z'
'-x,-y,-z'
'-x,y,-z'
'x,-y,z'
'x+1/2,y+1/2,z'
'-x+1/2,-y+1/2,-z'
'-x+1/2,y+1/2,-z'
'x+1/2,-y+1/2,z'
loop_
_atom_site_label
_atom_site_type_symbol
_atom_site_fract_x
_atom_site_fract_y
_atom_site_fract_z
Tb1 Tb 0.0194 0.0000 0.3360
Tb2 Tb 0.1858 0.5000 0.3360
Pr1 Pr 0.1657 0.0000 0.9983
Dy1 Dy 0.1470 0.5000 0.6628
Y1 Y 0.0000 0.5000 0.0000
```

**Energy**: -4.8610 eV per atom
**DOS at the Fermi energy**: 24.2 states/eV/cell
**Formation energy**: 0.0 kJ/mol of atoms